Density functional theory data (PBE) for a relaxed structure of KLiInCl5.

Fermi-level density of states = 0.0 states/eV/f.u.
E_tot = -3.38 eV/atom
space group = No. 15
energy relative to the elements, uncorrected = -1.5043 eV/atom

The structure in POSCAR format:
```
KLiInCl5
1.0
4.325 -5.906 0.000
4.325 5.906 0.000
-3.917 0.000 8.940
K Li In Cl
2 2 2 10
Direct
0.155 0.845 0.750 K
0.845 0.155 0.250 K
0.196 0.804 0.250 Li
0.804 0.196 0.750 Li
0.500 0.500 0.000 In
0.500 0.500 0.500 In
0.134 0.260 0.927 Cl
0.199 0.591 0.399 Cl
0.260 0.134 0.427 Cl
0.409 0.801 0.101 Cl
0.423 0.577 0.750 Cl
0.577 0.423 0.250 Cl
0.591 0.199 0.899 Cl
0.740 0.866 0.573 Cl
0.801 0.409 0.601 Cl
0.866 0.740 0.073 Cl
```

Density functional theory data (PBE) for a relaxed structure of KLiInCl3.

Fermi-level density of states = 0.0 states/eV/f.u.
E_tot = -3.39 eV/atom
space group = No. 11
energy relative to the elements, uncorrected = -1.5125 eV/atom

The structure in POSCAR format:
```
KLiInCl3
1.0
9.410 0.000 0.000
0.000 4.160 0.000
-0.356 0.000 9.556
K Li In Cl
2 2 2 6
Direct
0.177 0.250 0.139 K
0.823 0.750 0.861 K
0.415 0.750 0.903 Li
0.585 0.250 0.097 Li
0.188 0.250 0.615 In
0.812 0.750 0.385 In
0.113 0.750 0.375 Cl
0.166 0.750 0.880 Cl
0.467 0.750 0.152 Cl
0.533 0.250 0.848 Cl
0.834 0.250 0.120 Cl
0.887 0.250 0.625 Cl
```

Density functional theory data (PBE) for a relaxed structure of K2LiInCl5.

Fermi-level density of states = 1.3 states/eV/f.u.
E_tot = -3.33 eV/atom
space group = No. 36
energy relative to the elements, uncorrected = -1.5411 eV/atom

The structure in POSCAR format:
```
K2LiInCl5
1.0
2.505 -7.989 0.000
2.505 7.989 0.000
0.000 0.000 13.836
K Li In Cl
4 2 2 10
Direct
0.083 0.917 0.500 K
0.124 0.876 0.211 K
0.876 0.124 0.711 K
0.917 0.083 0.000 K
0.266 0.734 0.917 Li
0.734 0.266 0.417 Li
0.405 0.595 0.243 In
0.595 0.405 0.743 In
0.082 0.918 0.781 Cl
0.265 0.735 0.385 Cl
0.292 0.708 0.096 Cl
0.403 0.597 0.853 Cl
0.479 0.521 0.602 Cl
0.521 0.479 0.102 Cl
0.597 0.403 0.353 Cl
0.708 0.292 0.596 Cl
0.735 0.265 0.885 Cl
0.918 0.082 0.281 Cl
```

Density functional theory data (PBE) for a relaxed structure of K2LiInCl6.

Fermi-level density of states = 0.0 states/eV/f.u.
E_tot = -3.38 eV/atom
space group = No. 225
energy relative to the elements, uncorrected = -1.5915 eV/atom

The structure in POSCAR format:
```
K2LiInCl6
1.0
0.000 5.105 5.105
5.105 0.000 5.105
5.105 5.105 0.000
K Li In Cl
2 1 1 6
Direct
0.250 0.250 0.250 K
0.750 0.750 0.750 K
0.000 0.000 0.000 Li
0.500 0.500 0.500 In
0.252 0.252 0.748 Cl
0.252 0.748 0.252 Cl
0.252 0.748 0.748 Cl
0.748 0.252 0.252 Cl
0.748 0.252 0.748 Cl
0.748 0.748 0.252 Cl
```

Density functional theory data (PBE) for a relaxed structure of K2LiInCl4.

Fermi-level density of states = 0.0 states/eV/f.u.
E_tot = -3.34 eV/atom
space group = No. 15
energy relative to the elements, uncorrected = -1.5636 eV/atom

The structure in POSCAR format:
```
K2LiInCl4
1.0
6.226 -6.104 0.000
6.226 6.104 0.000
-6.070 0.000 6.233
K Li In Cl
4 2 2 8
Direct
0.000 0.000 0.000 K
0.000 0.000 0.500 K
0.000 0.500 0.000 K
0.500 0.000 0.500 K
0.000 0.500 0.500 Li
0.500 0.000 0.000 Li
0.500 0.500 0.000 In
0.500 0.500 0.500 In
0.201 0.288 0.495 Cl
0.248 0.751 0.505 Cl
0.249 0.752 0.995 Cl
0.288 0.201 0.995 Cl
0.712 0.799 0.005 Cl
0.751 0.248 0.005 Cl
0.752 0.249 0.495 Cl
0.799 0.712 0.505 Cl
```

Density functional theory data (PBE) for a relaxed structure of K3MgIn3Cl8.

Fermi-level density of states = 0.0 states/eV/f.u.
E_tot = -3.33 eV/atom
space group = No. 166
energy relative to the elements, uncorrected = -1.4706 eV/atom

The structure in POSCAR format:
```
K3MgIn3Cl8
1.0
4.446 2.567 7.356
-4.446 2.567 7.356
0.000 -5.133 7.356
K Mg In Cl
3 1 3 8
Direct
0.000 0.500 0.500 K
0.500 0.000 0.500 K
0.500 0.500 0.000 K
0.000 0.000 0.000 Mg
0.000 0.000 0.500 In
0.000 0.500 0.000 In
0.500 0.000 0.000 In
0.204 0.204 0.793 Cl
0.204 0.793 0.204 Cl
0.207 0.796 0.796 Cl
0.253 0.253 0.253 Cl
0.747 0.747 0.747 Cl
0.793 0.204 0.204 Cl
0.796 0.207 0.796 Cl
0.796 0.796 0.207 Cl
```

Density functional theory data (PBE) for a relaxed structure of KMg2In2Cl7.

Fermi-level density of states = 0.0 states/eV/f.u.
E_tot = -3.40 eV/atom
space group = No. 12
energy relative to the elements, uncorrected = -1.5100 eV/atom

The structure in POSCAR format:
```
KMg2In2Cl7
1.0
3.563 -3.545 0.000
3.563 3.545 0.000
-3.006 0.000 13.066
K Mg In Cl
1 2 2 7
Direct
0.000 0.000 0.000 K
0.415 0.415 0.805 Mg
0.585 0.585 0.195 Mg
0.208 0.208 0.366 In
0.792 0.792 0.634 In
0.079 0.575 0.188 Cl
0.351 0.351 0.616 Cl
0.425 0.921 0.812 Cl
0.500 0.500 0.000 Cl
0.575 0.079 0.188 Cl
0.649 0.649 0.384 Cl
0.921 0.425 0.812 Cl
```

Density functional theory data (PBE) for a relaxed structure of K2MgInCl6.

Fermi-level density of states = 0.0 states/eV/f.u.
E_tot = -3.38 eV/atom
space group = No. 166
energy relative to the elements, uncorrected = -1.6145 eV/atom

The structure in POSCAR format:
```
K2MgInCl6
1.0
3.643 2.103 13.771
-3.643 2.103 13.771
0.000 -4.207 13.771
K Mg In Cl
4 2 2 12
Direct
0.114 0.114 0.114 K
0.273 0.273 0.273 K
0.727 0.727 0.727 K
0.886 0.886 0.886 K
0.417 0.417 0.417 Mg
0.583 0.583 0.583 Mg
0.000 0.000 0.000 In
0.500 0.500 0.500 In
0.146 0.620 0.620 Cl
0.223 0.223 0.721 Cl
0.223 0.721 0.223 Cl
0.279 0.777 0.777 Cl
0.380 0.380 0.854 Cl
0.380 0.854 0.380 Cl
0.620 0.146 0.620 Cl
0.620 0.620 0.146 Cl
0.721 0.223 0.223 Cl
0.777 0.279 0.777 Cl
0.777 0.777 0.279 Cl
0.854 0.380 0.380 Cl
```